# 1
DFT (GGA-PBE) results for an optimized crystal structure of Ce2Zn16Co.

Cell and atoms, written as extended XYZ:
```
19
Lattice="6.744 0.026 0.789 0.705 6.707 0.789 0.029 0.026 6.790" Properties=species:S:1:pos:R:3 pbc="T T T"
Zn 2.652 6.727 5.851
Zn 2.458 4.811 7.572
Ce 5.043 4.559 5.644
Zn 6.960 1.961 5.851
Zn 7.249 4.811 3.291
Zn 7.107 3.454 7.953
Zn 1.521 4.396 5.066
Zn 7.438 6.723 5.017
Zn 4.864 4.396 2.079
Zn 5.517 6.727 3.291
Co 6.629 5.991 7.418
Zn 4.527 1.071 5.066
Zn 2.998 5.655 3.355
Zn 0.701 0.634 0.785
Zn 4.152 6.723 7.953
Ce 2.547 2.302 2.850
Zn 2.670 2.413 6.267
Zn 5.928 2.413 3.355
Zn 5.035 1.961 7.572
```

Fermi-level density of states in states/eV per atom: 0.806
Calculated formation energy in eV/atom: -0.198

---

# 2
DFT (GGA-PBE) results for an optimized crystal structure of NaTaSi2H.

Cell and atoms, written as extended XYZ:
```
5
Lattice="-1.358 3.830 0.906 -3.618 -1.120 -0.688 -0.421 -1.094 3.994" Properties=species:S:1:pos:R:3 pbc="T T T"
Si -0.679 1.915 0.453
Ta -2.698 0.808 2.107
Si -0.210 -0.547 1.997
H 0.000 0.000 0.000
Na -1.809 -0.560 -0.344
```

Fermi-level density of states in states/eV per atom: 0.511
VASP energy in eV per atom: -4.996